[1]
Compound: Cu2PdCl8
Source: Alexandria
Functional: PBE
Structure: optimized geometry

abc: 6.056 7.666 7.666
angles: 60.34 89.17 89.17
Last column: magnetic moment on the atom in μB.
Atoms (fractional coordinates):
Cu (0.598, 0.828, 0.828)  0.49
Cu (0.402, 0.172, 0.172)  0.49
Pd (0.000, 0.000, 0.000)  -0.04
Cl (0.228, 0.285, 0.867)  0.08
Cl (0.772, 0.133, 0.715)  0.08
Cl (0.224, 0.848, 0.848)  0.08
Cl (0.776, 0.152, 0.152)  0.08
Cl (0.228, 0.867, 0.285)  0.08
Cl (0.772, 0.715, 0.133)  0.08
Cl (0.584, 0.667, 0.667)  0.20
Cl (0.416, 0.333, 0.333)  0.20

- Fermi-level density of states: 9.4 states/eV/f.u.
- E_form (uncorrected): -0.342 eV/atom
- Space group: C2/m (12)

---

[2]
Compound: CuPd2Cl
Source: Alexandria
Functional: PBE
Structure: optimized geometry

abc: 7.001 7.001 5.654
angles: 51.75 51.75 90.00
Atoms (fractional coordinates):
Cu (0.000, 0.000, 0.000)
Cu (0.750, 0.250, 0.500)
Pd (0.631, 0.125, 0.250)
Pd (0.119, 0.625, 0.250)
Pd (0.375, 0.369, 0.750)
Pd (0.875, 0.881, 0.750)
Cl (0.500, 0.500, 0.000)
Cl (0.250, 0.750, 0.500)

- Fermi-level density of states: 2.7 states/eV/f.u.
- E_form (uncorrected): 0.335 eV/atom
- Space group: I-42d (122)

---

[3]
Compound: CuPdCl6
Source: Alexandria
Functional: PBE
Structure: optimized geometry

abc: 6.110 6.110 6.467
angles: 61.81 61.79 59.97
Last column: magnetic moment on the atom in μB.
Atoms (fractional coordinates):
Cu (0.000, 0.000, 0.000)  0.41
Pd (0.500, 0.500, 0.500)  0.01
Cl (0.105, 0.398, 0.751)  0.09
Cl (0.745, 0.105, 0.752)  0.09
Cl (0.602, 0.255, 0.248)  0.09
Cl (0.255, 0.895, 0.248)  0.09
Cl (0.895, 0.602, 0.249)  0.09
Cl (0.398, 0.745, 0.752)  0.09

- Fermi-level density of states: 7.3 states/eV/f.u.
- E_form (uncorrected): -0.295 eV/atom
- Space group: R-3 (148)

---

[4]
Compound: Cu2PdCl4
Source: Alexandria
Functional: PBE
Structure: optimized geometry

abc: 6.131 6.131 6.131
angles: 104.85 104.85 119.18
Atoms (fractional coordinates):
Cu (0.250, 0.750, 0.500)
Cu (0.750, 0.250, 0.500)
Pd (0.500, 0.500, 0.000)
Cl (0.388, 0.203, 0.591)
Cl (0.797, 0.388, 0.185)
Cl (0.203, 0.612, 0.815)
Cl (0.612, 0.797, 0.409)

- E_form (uncorrected): -0.443 eV/atom
- Space group: I4/m (87)